Below is a relaxed NaCoBiF6 crystal, with properties calculated at the PBE+U level.

Summary:
DOS(E_F) = 0.0 states/eV/cell
E = -4.82 eV per atom
Space group = P-31c, No. 163
Density = 5.1 g/cm3

```
NaCoBiF6
1.0
-4.9844 -0.4645 2.4377
1.1497 -2.9618 -4.5726
3.4432 -7.3659 5.6368
Na Co Bi F
2 2 2 12
direct
0.3333 0.6667 0.2500
0.6667 0.3333 0.7500
0.6667 0.3333 0.2500
0.3333 0.6667 0.7500
0.0000 0.0000 0.0000
0.0000 0.0000 0.5000
0.6775 0.6461 0.1329
0.9686 0.3225 0.1329
0.3225 0.9686 0.6329
0.0314 0.6775 0.8671
0.3539 0.3225 0.3671
0.9686 0.6461 0.3671
0.6461 0.9686 0.8671
0.6775 0.0314 0.3671
0.0314 0.3539 0.6329
0.3539 0.0314 0.1329
0.6461 0.6775 0.6329
0.3225 0.3539 0.8671
```